Material: KSrPbO2
Method: DFT, PBE
State: relaxed

```
KSrPbO2
1.0
4.887 0.000 0.000
0.000 4.887 0.000
0.000 0.000 5.663
K Sr Pb O
1 1 1 2
Cartesian
0.000 0.000 0.000
2.443 2.443 0.000
0.000 0.000 2.832
0.000 2.443 2.832
2.443 0.000 2.832
```

Results
- Calculated density: 4.493 Mg/m³
- Raw total energy: -3.357 eV/atom
- Magnetization: 0.0 μB/f.u.
- DOS(E_F): 3.16 states/eV/f.u.
- Raw formation energy: -0.077 eV per atom